1.
Sm2TiAl3Pt4 | PBE | relaxed

Calculated values
- D(E_F): 9.534 states/eV/f.u.
- Magnetic moment: 0.0 μB/cell
- ρ: 10.455 g/cm³
- Energy of formation from the pure elements: -1064 meV per atom
- Space-group type: P-4m2, No. 115

a = 4.2919 Å, b = 4.2919 Å, c = 10.4317 Å
α = 90.00°, β = 90.00°, γ = 90.00°
Last column: nearest neighbours and their distance in Å.
Fractional coordinates of all 10 atoms:
Sm: 0.0000 0.5000 0.2436  6 Al 3.28-3.43, 8 Pt 3.28-3.33, 2 Ti 3.43
Sm: 0.5000 0.0000 0.7564  6 Al 3.28-3.43, 8 Pt 3.28-3.33, 2 Ti 3.43
Ti: 0.0000 0.0000 0.5000  4 Pt 2.58
Al: 0.0000 0.5000 0.8746  5 Pt 2.47-2.51
Al: 0.5000 0.0000 0.1254  5 Pt 2.47-2.51
Al: 0.5000 0.5000 0.5000  4 Pt 2.58
Pt: 0.0000 0.0000 0.0000  4 Al 2.51
Pt: 0.0000 0.5000 0.6374  3 Al 2.47-2.58, 2 Ti 2.58
Pt: 0.5000 0.0000 0.3626  3 Al 2.47-2.58, 2 Ti 2.58
Pt: 0.5000 0.5000 0.0000  4 Al 2.51

=====

2.
CsTl2SnCl8 | PBE | relaxed

Calculated values
- D(E_F): 0.095 states/eV/f.u.
- Energy relative to the elements, uncorrected: -1072 meV per atom
- Magnetic moment: 1.0 μB/cell
- ρ: 3.917 g/cm³
- Space-group type: P2/m, No. 10

a = 6.7860 Å, b = 7.1583 Å, c = 8.5794 Å
α = 90.00°, β = 106.22°, γ = 90.00°
Last column: nearest neighbours and their distance in Å.
Fractional coordinates of all 12 atoms:
Cs: 0.0000 0.0000 0.0000  12 Cl 3.77-3.99
Tl: 0.4549 0.5000 0.7412  2 Cl 2.92-3.17
Tl: 0.5451 0.5000 0.2588  2 Cl 2.92-3.17
Sn: 0.5000 0.0000 0.5000  6 Cl 2.47-2.49
Cl: 0.1700 0.5000 0.9410  1 Cl 2.77, 1 Tl 2.92
Cl: 0.2370 0.2446 0.4047  1 Sn 2.47
Cl: 0.2370 0.7554 0.4047  1 Sn 2.47
Cl: 0.4379 0.0000 0.7724  1 Sn 2.49
Cl: 0.5621 0.0000 0.2276  1 Sn 2.49
Cl: 0.7630 0.2446 0.5953  1 Sn 2.47
Cl: 0.7630 0.7554 0.5953  1 Sn 2.47
Cl: 0.8300 0.5000 0.0590  1 Cl 2.77, 1 Tl 2.92